Below is a relaxed structure of DyZr2Sc, with properties calculated at the PBE level.

abc: 3.2952 3.2952 10.8194
angles: 81.24 81.24 60.00
Positions (direct):
Sc (0.6666, 0.6666, 0.0001)
Zr (0.2524, 0.2524, 0.2428)
Zr (0.0811, 0.0811, 0.7566)
Dy (0.4998, 0.4998, 0.5005)

ΔH_f (0 K), kcal/mol of atoms: 1.77
Volume, Å³/cell: 100
Space group: R3m
E above lowest polymorph, kJ/mol of atoms: 1.8